Material: KInHg2Pb
Method: DFT, PBE-GGA
State: relaxed

Unit cell a=5.682 b=5.682 c=5.934 alpha=90.00 beta=90.00 gamma=90.00
Element x y z (fractional)
K: 0.000 0.000 0.000
In: 0.500 0.500 0.500
Hg: 0.000 0.500 0.500
Hg: 0.500 0.000 0.500
Pb: 0.500 0.500 0.000

space-group type = P4/mmm (123)
energy of formation from the pure elements = 0.058 eV/atom
energy above the lowest structure with this stoichiometry = 188.1 meV/atom
volume = 191.6 Å³/cell
DOS(E_F) = 0.82 states/eV per atom